# 1
The following is a GGA-PBE calculation of ScZnNi3 after structural relaxation, from the Alexandria database.

Properties
Calculated formation energy in eV per atom: 0.940
Distance to the lowest polymorph of the same formula in meV/atom: 1214
E in eV/cell: -20.25

Cell lengths 4.4259, 4.4259, 4.4259 Å; angles 90.00, 90.00, 90.00 degrees
Last column: nearest neighbours and their distance in Å.
Sites, in units of the cell vectors:
Sc 0.0000 0.0000 0.0000  6 Ni 2.21
Zn 0.5000 0.5000 0.5000  12 Ni 3.13
Ni 0.0000 0.0000 0.5000  2 Sc 2.21
Ni 0.0000 0.5000 0.0000  2 Sc 2.21
Ni 0.5000 0.0000 0.0000  2 Sc 2.21

---

# 2
The following is a GGA-PBE calculation of AcUB2O8 after structural relaxation, from the Alexandria database.

Properties
E_form (uncorrected) in eV per atom: -2.63
E in eV/cell: -100.00

Cell lengths 7.8055, 7.8055, 7.8055 Å; angles 35.25, 35.25, 35.25 degrees
Last column: nearest neighbours and their distance in Å.
Sites, in units of the cell vectors:
Ac 0.0000 0.0000 0.0000  12 O 2.76-2.88
U 0.5000 0.5000 0.5000  6 O 2.11
B 0.2504 0.2504 0.2504  4 O 1.44-1.48
B 0.7496 0.7496 0.7496  4 O 1.44-1.48
O 0.0737 0.4830 0.7596  1 B 1.48
O 0.2404 0.5170 0.9263  1 B 1.48
O 0.3159 0.3159 0.3159  1 B 1.44
O 0.4830 0.7596 0.0737  1 B 1.48
O 0.5170 0.9263 0.2404  1 B 1.48
O 0.6841 0.6841 0.6841  1 B 1.44
O 0.7596 0.0737 0.4830  1 B 1.48
O 0.9263 0.2404 0.5170  1 B 1.48